The following is a PBE calculation of a geometry-optimized KLi2Fe structure, from Alexandria.

a = 9.142 Å, b = 2.863 Å, c = 7.283 Å
α = 90.00°, β = 94.13°, γ = 90.00°
Fractional coordinates of all 8 atoms:
K1 0.000 0.000 0.000
K2 0.500 0.500 0.000
Li1 0.235 0.000 0.659
Li2 0.265 0.500 0.341
Li3 0.735 0.500 0.659
Li4 0.765 0.000 0.341
Fe1 0.000 0.500 0.500
Fe2 0.500 0.000 0.500

## Properties
Energy above the most stable polymorph in this dataset: 0.17 eV per formula unit
Total moment: 5.2 Bohr magnetons per cell
Energy of formation from the pure elements: 0.60 eV/atom
E: -2.7515 eV/atom